Below is Na4TlCd after structural relaxation, with properties calculated at the PBE level.

Computed properties:
formation enthalpy at 0 K	65	meV/atom
crystal system	cubic

Cell lengths 8.973, 8.973, 8.973 Å; angles 90.00, 90.00, 90.00 degrees
Space group F-43m (No. 216)
Asymmetric unit:
Na: 0.125 0.125 0.125
Tl: 0.000 0.000 0.500
Cd: 0.250 0.250 0.750



Below is Na5Tl6Cd after structural relaxation, with properties calculated at the PBE level.

Computed properties:
formation enthalpy at 0 K	-93	meV/atom
crystal system	orthorhombic

Cell lengths 4.960, 15.171, 8.901 Å; angles 90.00, 90.00, 90.00 degrees
Space group Cmmm (No. 65)
Asymmetric unit:
Na: 0.000 0.000 0.000
Na: 0.000 0.332 0.000
Na: 0.000 0.337 0.500
Tl: 0.000 0.162 0.259
Tl: 0.000 0.500 0.254
Cd: 0.000 0.000 0.500



Below is Na3TlCd3 after structural relaxation, with properties calculated at the PBE level.

Computed properties:
formation enthalpy at 0 K	-85	meV/atom
crystal system	monoclinic

Cell lengths 8.830, 5.368, 8.832 Å; angles 90.00, 119.95, 90.00 degrees
Space group P2_1/m (No. 11)
Asymmetric unit:
Na: 0.038 0.250 0.130
Na: 0.130 0.750 0.592
Na: 0.407 0.750 0.038
Tl: 0.167 0.250 0.833
Cd: 0.271 0.750 0.324
Cd: 0.324 0.250 0.553
Cd: 0.448 0.250 0.271



Below is Na12TlCd6 after structural relaxation, with properties calculated at the PBE level.

Computed properties:
formation enthalpy at 0 K	-59	meV/atom
crystal system	trigonal

Cell lengths 11.4537, 11.4537, 14.6205 Å; angles 90.00, 90.00, 120.00 degrees
Space group R-3 (No. 148, hexagonal axes)
Asymmetric unit:
Na: 0.0336 0.1915 0.3148
Na: 0.0610 0.8416 0.9133
Tl: 0.0000 0.0000 0.5000
Cd: 0.0305 0.4409 0.2002



Below is Na5Tl2Cd4 after structural relaxation, with properties calculated at the PBE level.

Computed properties:
formation enthalpy at 0 K	-23	meV/atom
crystal system	monoclinic

Cell lengths 11.644, 6.615, 9.293 Å; angles 90.00, 118.38, 90.00 degrees
Space group C2/m (No. 12)
Asymmetric unit:
Na: 0.000 0.000 0.000
Na: 0.010 0.253 0.319
Tl: 0.229 0.000 0.648
Cd: 0.221 0.500 0.996
Cd: 0.228 0.500 0.665



Below is NaTl3Cd after structural relaxation, with properties calculated at the PBE level.

Computed properties:
formation enthalpy at 0 K	-12	meV/atom
crystal system	orthorhombic

Cell lengths 5.016, 7.798, 7.573 Å; angles 90.00, 90.00, 90.00 degrees
Space group Pmmn (No. 59, origin choice 2)
Asymmetric unit:
Na: 0.250 0.250 0.235
Tl: 0.250 0.040 0.782
Tl: 0.250 0.750 0.463
Cd: 0.250 0.750 0.056



Please write out number 6 again, unchanged.
Below is NaTl3Cd after structural relaxation, with properties calculated at the PBE level.

Computed properties:
formation enthalpy at 0 K	-12	meV/atom
crystal system	orthorhombic

Cell lengths 5.016, 7.798, 7.573 Å; angles 90.00, 90.00, 90.00 degrees
Space group Pmmn (No. 59, origin choice 2)
Asymmetric unit:
Na: 0.250 0.250 0.235
Tl: 0.250 0.040 0.782
Tl: 0.250 0.750 0.463
Cd: 0.250 0.750 0.056



formation enthalpy at 0 K of number 1 (Na4TlCd)?
65 meV/atom



The highest formation enthalpy at 0 K belongs to which entry?
Na4TlCd